Below is CePm2Cd after structural relaxation, with properties calculated at the PBE level.

Output
total energy: -4.04 eV/atom
total moment: 1.977 μB/f.u.
energy above the most stable polymorph in this dataset: 162.3 meV per atom
calculated density: 7.76 g cm⁻³
ΔH_f (0 K): 0.05 eV per atom

abc: 5.475 5.475 5.475
angles: 60.00 60.00 60.00
Fractional positions:
1 Pm 0.250 0.250 0.250
2 Pm 0.750 0.750 0.750
3 Cd 0.500 0.500 0.500
4 Ce 0.000 0.000 0.000